No. 1
Compound: Rb3Tb3VO8
Source: the Alexandria database
Functional: PBE+U
Structure: relaxed

Properties
calculated total energy: -6.809 eV per atom
V: 17.62 Å³/atom
magnetization: 1.0 μB/cell

a b c (Å): 6.8030 6.8015 7.6768
angles (deg): 116.30 90.00 120.01
Last column: nearest neighbours and their distance in Å.
Positions (direct):
Rb1 0.0000 0.0000 0.0000  6 O 2.91-2.92
Rb2 0.0000 0.5000 0.0000  6 O 2.91-2.92
Rb3 0.5000 0.5000 0.0000  6 O 2.91-2.92
Tb1 0.5000 0.0000 0.5000  6 O 2.28-2.33
Tb2 0.5000 0.5000 0.5000  6 O 2.28-2.33
Tb3 0.0000 0.5000 0.5000  6 O 2.28-2.33
V1 0.0000 0.0000 0.5000  6 O 2.05
O1 0.2751 0.5502 0.3255  3 Tb 2.28
O2 0.7249 0.4498 0.6745  3 Tb 2.28
O3 0.7978 0.5956 0.3398  1 V 2.05
O4 0.2022 0.4044 0.6602  1 V 2.05
O5 0.7975 0.0420 0.3396  1 V 2.05
O6 0.2025 0.9580 0.6604  1 V 2.05
O7 0.2445 0.0420 0.3396  1 V 2.05
O8 0.7555 0.9580 0.6604  1 V 2.05

No. 2
Compound: Rb4Tb3VO8
Source: the Alexandria database
Functional: PBE+U
Structure: relaxed

Properties
calculated total energy: -6.461 eV per atom
V: 16.85 Å³/atom
magnetization: 2.0 μB/cell

a b c (Å): 6.8660 7.6522 6.9275
angles (deg): 116.96 119.71 90.00
Last column: nearest neighbours and their distance in Å.
Positions (direct):
Rb1 0.5000 0.0000 0.0000  6 O 2.91-3.04
Rb2 0.5000 0.0000 0.5000  6 O 2.88-2.91
Rb3 0.0000 0.0000 0.0000  6 O 2.89-2.92
Rb4 0.0000 0.0000 0.5000  6 O 2.88-2.91
Tb1 0.5000 0.5000 0.0000  6 O 2.31-2.34
Tb2 0.5000 0.5000 0.5000  6 O 2.31-2.35
Tb3 0.0000 0.5000 0.5000  6 O 2.31-2.35
V1 0.0000 0.5000 0.0000  6 O 2.15-2.32
O1 0.2102 0.6684 0.9572  1 V 2.15, 2 Tb 2.34-2.35
O2 0.2259 0.6801 0.4519  2 Tb 2.31, 1 V 2.32
O3 0.2754 0.3227 0.5509  3 Tb 2.31
O4 0.7470 0.6684 0.9572  1 V 2.15, 2 Tb 2.34-2.35
O5 0.2530 0.3316 0.0428  1 V 2.15, 2 Tb 2.34-2.35
O6 0.7246 0.6773 0.4491  3 Tb 2.31
O7 0.7741 0.3199 0.5481  2 Tb 2.31, 1 V 2.32
O8 0.7898 0.3316 0.0428  1 V 2.15, 2 Tb 2.34-2.35

No. 3
Compound: RbTbVO4
Source: the Alexandria database
Functional: PBE+U
Structure: relaxed

Properties
calculated total energy: -7.142 eV per atom
V: 18.63 Å³/atom
magnetization: 2.0 μB/cell

a b c (Å): 5.9761 5.9692 7.6883
angles (deg): 90.00 108.03 90.00
Last column: nearest neighbours and their distance in Å.
Positions (direct):
Rb1 0.7158 0.7500 0.9409  2 O 2.75-2.87
Rb2 0.2842 0.2500 0.0591  2 O 2.75-2.87
Tb1 0.8189 0.7500 0.4602  6 O 2.26-2.43
Tb2 0.1811 0.2500 0.5398  6 O 2.26-2.43
V1 0.2833 0.7500 0.3504  4 O 1.74-1.90
V2 0.7167 0.2500 0.6496  4 O 1.74-1.90
O1 0.9498 0.4733 0.6668  1 V 1.90
O2 0.0502 0.9733 0.3332  1 V 1.90
O3 0.0502 0.5267 0.3332  1 V 1.90
O4 0.9498 0.0267 0.6668  1 V 1.90
O5 0.4631 0.7500 0.2039  1 V 1.78
O6 0.5369 0.2500 0.7961  1 V 1.78
O7 0.4805 0.7500 0.5712  1 V 1.74
O8 0.5195 0.2500 0.4288  1 V 1.74

No. 4
Compound: Rb2TbV2O6
Source: the Alexandria database
Functional: PBE+U
Structure: relaxed

Properties
calculated total energy: -6.817 eV per atom
V: 18.54 Å³/atom
magnetization: 1.0 μB/cell

a b c (Å): 6.1883 6.1883 7.1120
angles (deg): 64.21 64.21 60.00
Last column: nearest neighbours and their distance in Å.
Positions (direct):
Rb1 0.7873 0.7873 0.6382  9 O 3.12-3.20
Rb2 0.2127 0.2127 0.3618  9 O 3.12-3.20
Tb1 0.0000 0.0000 0.0000  6 O 2.30
V1 0.4187 0.4187 0.7438  3 O 1.76
V2 0.5813 0.5813 0.2562  3 O 1.76
O1 0.7543 0.7543 0.2268  1 V 1.76
O2 0.2645 0.7543 0.2268  1 V 1.76
O3 0.7543 0.2645 0.2268  1 V 1.76
O4 0.2457 0.7355 0.7732  1 V 1.76
O5 0.7355 0.2457 0.7732  1 V 1.76
O6 0.2457 0.2457 0.7732  1 V 1.76

No. 5
Compound: Rb3TbV2O8
Source: the Alexandria database
Functional: PBE+U
Structure: relaxed

Properties
calculated total energy: -6.755 eV per atom
V: 18.43 Å³/atom
magnetization: 0.0 μB/cell

a b c (Å): 6.0984 6.0984 8.0099
angles (deg): 90.00 90.00 120.00
Last column: nearest neighbours and their distance in Å.
Positions (direct):
Rb1 0.3333 0.6667 0.7041  7 O 2.76-3.06
Rb2 0.6667 0.3333 0.2959  7 O 2.76-3.06
Rb3 0.0000 0.0000 0.0000  12 O 3.24-3.54
Tb1 0.0000 0.0000 0.5000  6 O 2.29
V1 0.3333 0.6667 0.2584  4 O 1.68-1.77
V2 0.6667 0.3333 0.7416  4 O 1.68-1.77
O1 0.3333 0.6667 0.0482  1 V 1.68
O2 0.6667 0.3333 0.9518  1 V 1.68
O3 0.1755 0.8245 0.3325  1 V 1.77
O4 0.8245 0.1755 0.6675  1 V 1.77
O5 0.1755 0.3510 0.3325  1 V 1.77
O6 0.8245 0.6490 0.6675  1 V 1.77
O7 0.6490 0.8245 0.3325  1 V 1.77
O8 0.3510 0.1755 0.6675  1 V 1.77

No. 6
Compound: RbTbV2O8
Source: the Alexandria database
Functional: PBE+U
Structure: relaxed

Properties
calculated total energy: -6.982 eV per atom
V: 20.60 Å³/atom
magnetization: 2.0 μB/cell

a b c (Å): 5.9492 5.9492 8.0632
angles (deg): 90.00 90.00 120.00
Last column: nearest neighbours and their distance in Å.
Positions (direct):
Rb1 0.0000 0.0000 0.0000  12 O 3.18-3.45
Tb1 0.0000 0.0000 0.5000  6 O 2.26
V1 0.6667 0.3333 0.2573  4 O 1.71-1.75
V2 0.3333 0.6667 0.7427  4 O 1.71-1.75
O1 0.3333 0.6667 0.9553  1 V 1.71
O2 0.3458 0.1742 0.3267  1 V 1.75
O3 0.8258 0.1716 0.3267  1 V 1.75
O4 0.6667 0.3333 0.0447  1 V 1.71
O5 0.1742 0.8284 0.6733  1 V 1.75
O6 0.6542 0.8258 0.6733  1 V 1.75
O7 0.1716 0.3458 0.6733  1 V 1.75
O8 0.8284 0.6542 0.3267  1 V 1.75

No. 7
Compound: Rb2TbW3O12
Source: the Alexandria database
Functional: PBE+U
Structure: relaxed

Properties
calculated total energy: -7.040 eV per atom
V: 17.14 Å³/atom
magnetization: 1.0 μB/cell

a b c (Å): 7.6551 7.6551 7.6551
angles (deg): 58.81 58.81 58.81
Last column: nearest neighbours and their distance in Å.
Positions (direct):
Rb1 0.6344 0.6344 0.6344  3 O 3.09
Rb2 0.3656 0.3656 0.3656  3 O 3.09
Tb1 0.0000 0.0000 0.0000  6 O 2.28
W1 0.5000 0.0000 0.0000  6 O 1.90-1.96
W2 0.0000 0.5000 0.0000  6 O 1.90-1.96
W3 0.0000 0.0000 0.5000  6 O 1.90-1.96
O1 0.3001 0.3001 0.9323  2 W 1.96
O2 0.9220 0.9220 0.3574  1 W 1.90
O3 0.3574 0.9220 0.9220  1 W 1.90
O4 0.9323 0.3001 0.3001  2 W 1.96
O5 0.9220 0.3574 0.9220  1 W 1.90
O6 0.3001 0.9323 0.3001  2 W 1.96
O7 0.6999 0.6999 0.0677  2 W 1.96
O8 0.0780 0.0780 0.6426  1 W 1.90
O9 0.6426 0.0780 0.0780  1 W 1.90
O10 0.0677 0.6999 0.6999  2 W 1.96
O11 0.0780 0.6426 0.0780  1 W 1.90
O12 0.6999 0.0677 0.6999  2 W 1.96